(1)
VGaTe2O, optimized geometry, DFT PBE+U; symmetry = P4/mmm; calculated total energy = -4.171 eV/atom; total magnetic moment = 0.26 Bohr magnetons per cell
1.0
5.661 0.000 0.000
0.000 3.615 0.000
0.000 0.000 5.661
O Ga Te V
1 1 2 1
direct
0.000 0.000 0.000 O
0.500 0.500 0.500 Ga
0.000 0.000 0.500 Te
0.500 0.000 0.000 Te
0.000 0.500 0.000 V

***

(2)
VGaTe2O8, optimized geometry, DFT PBE+U; symmetry = P-3m1; calculated total energy = -5.852 eV/atom; total magnetic moment = 0.00 Bohr magnetons per cell
1.0
-1.885 1.564 5.745
-4.085 -2.359 -4.092
1.109 -4.836 1.681
O Te Ga V
8 2 1 1
direct
0.864 0.136 0.265 O
0.864 0.729 0.265 O
0.729 0.864 0.735 O
0.136 0.271 0.735 O
0.136 0.864 0.735 O
0.667 0.333 0.624 O
0.333 0.667 0.376 O
0.271 0.136 0.265 O
0.667 0.333 0.279 Te
0.333 0.667 0.721 Te
0.000 0.000 0.000 Ga
0.000 0.000 0.500 V

***

(3)
VGa2TeO8, optimized geometry, DFT PBE+U; symmetry = P-3m1; calculated total energy = -5.722 eV/atom; total magnetic moment = 3.28 Bohr magnetons per cell
1.0
5.707 0.000 0.000
-2.854 4.943 0.000
0.000 0.000 5.699
O Ga V Te
8 2 1 1
direct
0.705 0.852 0.731 O
0.295 0.148 0.269 O
0.148 0.295 0.731 O
0.148 0.852 0.731 O
0.852 0.705 0.269 O
0.333 0.667 0.123 O
0.667 0.333 0.877 O
0.852 0.148 0.269 O
0.333 0.667 0.810 Ga
0.667 0.333 0.190 Ga
0.000 0.000 0.000 V
0.000 0.000 0.500 Te